DFT (PBE) results for crystalline HfTa2TlBi at its relaxed geometry.

As for the energy of formation from the pure elements: 1.892 eV/atom. The density of states at the Fermi level is 8.0 states/eV per cell. As for the raw total energy: -30.4 eV per cell.

It has space group P4/mmm (No. 123), with a = 5.173 Å, b = 5.173 Å, c = 5.388 Å, α = 90.00°, β = 90.00° and γ = 90.00°. Symmetry generates all atoms from Hf at (0.000, 0.000, 0.000), Ta at (0.000, 0.500, 0.500), Tl at (0.500, 0.500, 0.000) and Bi at (0.000, 0.000, 0.500).


DFT (PBE) results for crystalline YHfTa2Bi at its relaxed geometry.

As for the energy of formation from the pure elements: 1.650 eV/atom. The density of states at the Fermi level is 7.3 states/eV per cell. As for the raw total energy: -35.8 eV per cell.

It has space group P4/mmm (No. 123), with a = 5.171 Å, b = 5.171 Å, c = 5.456 Å, α = 90.00°, β = 90.00° and γ = 90.00°. Symmetry generates all atoms from Y at (0.000, 0.000, 0.000), Hf at (0.500, 0.500, 0.000), Ta at (0.000, 0.500, 0.500) and Bi at (0.000, 0.000, 0.500).


DFT (PBE) results for crystalline YHf2TaBi at its relaxed geometry.

As for the energy of formation from the pure elements: 0.753 eV/atom. The density of states at the Fermi level is 7.7 states/eV per cell. As for the raw total energy: -38.3 eV per cell.

It has space group P4/mmm (No. 123), with a = 5.080 Å, b = 5.080 Å, c = 5.680 Å, α = 90.00°, β = 90.00° and γ = 90.00°. Symmetry generates all atoms from Y at (0.000, 0.000, 0.000), Hf at (0.000, 0.500, 0.500), Ta at (0.000, 0.000, 0.500) and Bi at (0.500, 0.500, 0.000).